Entry from Alexandria via LeMat-Bulk: Zr2AsF at its PBEsol-relaxed geometry (meta-GGA SCAN).

Summary:
ΔE_f (raw) = -1.4152 eV/atom
total magnetic moment = 0.0000 μB per atom

a = 4.5199 Å, b = 4.5199 Å, c = 4.5199 Å
α = 60.00°, β = 60.00°, γ = 60.00°
Element x y z (fractional)
Zr  0.2500  0.2500  0.2500
Zr  0.7500  0.7500  0.7500
As  0.0000  0.0000  0.0000
F  0.5000  0.5000  0.5000